Entry 1:
## La2Y3ThAs6 (PBE)

Data for crystalline La2Y3ThAs6 at its relaxed geometry.

Values from the calculation:
The value obtained for the calculated formation energy is -1.547 eV per atom. The space-group type is No. 12. The calculation puts the total magnetization at 0.0 μB/cell.

abc: 4.2346 8.4507 9.4367
angles: 102.58 102.97 90.00
With the nearest neighbours (Å) after each atom.
Fractional positions:
As (0.3330, 0.9251, 0.6661)  3 Y 2.94-2.97, 1 Th 2.99, 2 La 3.05
As (0.6635, 0.5910, 0.3269)  3 Y 2.93, 3 La 3.04
As (0.9969, 0.2510, 0.9939)  3 Y 2.95-2.98, 2 Th 3.01, 1 La 3.05
As (0.3365, 0.4090, 0.6731)  3 Y 2.93, 3 La 3.04
As (0.6670, 0.0749, 0.3339)  3 Y 2.94-2.97, 1 Th 2.99, 2 La 3.05
As (0.0031, 0.7490, 0.0061)  3 Y 2.95-2.98, 2 Th 3.01, 1 La 3.05
Y (0.1675, 0.8332, 0.3351)  6 As 2.93-2.97
Y (0.5000, 0.5000, 0.0000)  6 As 2.93-2.98
Y (0.8325, 0.1668, 0.6649)  6 As 2.93-2.97
La (0.8330, 0.6650, 0.6660)  6 As 3.04-3.05
La (0.1670, 0.3350, 0.3340)  6 As 3.04-3.05
Th (0.5000, 0.0000, 0.0000)  6 As 2.99-3.01



Entry 2:
## Pa4Ge2SeS (PBE)

Data for crystalline Pa4Ge2SeS at its relaxed geometry.

Values from the calculation:
The space-group type is No. 10. As for the calculated total energy: -7.80 eV per atom. The calculation puts the total magnetization at 0.0 μB/cell.

abc: 4.1055 6.8813 7.1336
angles: 69.93 90.00 90.00
With the nearest neighbours (Å) after each atom.
Fractional positions:
Se (0.5000, 0.5000, 0.0000)  6 Pa 2.88
S (0.0000, 0.5000, 0.5000)  6 Pa 2.81
Ge (0.5000, 0.0000, 0.5000)  6 Pa 2.87
Ge (0.0000, 0.0000, 0.0000)  6 Pa 2.93-2.94
Pa (0.5000, 0.7389, 0.2610)  2 S 2.81, 3 Ge 2.87-2.93, 1 Se 2.88
Pa (0.0000, 0.2555, 0.2558)  1 S 2.81, 3 Ge 2.87-2.94, 2 Se 2.88
Pa (0.5000, 0.2611, 0.7390)  2 S 2.81, 3 Ge 2.87-2.93, 1 Se 2.88
Pa (0.0000, 0.7445, 0.7442)  1 S 2.81, 3 Ge 2.87-2.94, 2 Se 2.88



Entry 3:
## TbDy6Er2Sc (PBE)

Data for crystalline TbDy6Er2Sc at its relaxed geometry.

Values from the calculation:
The value obtained for the calculated formation energy is 0.128 eV per atom. The space-group type is No. 15. The calculation puts the total magnetization at 0.0 μB/cell.

abc: 9.3575 8.6662 8.6662
angles: 117.28 93.66 93.66
With the nearest neighbours (Å) after each atom.
Fractional positions:
Dy (0.4451, 0.2449, 0.8746)  7 Dy 3.39-3.68, 1 Er 3.46, 1 Tb 3.60
Dy (0.8108, 0.4368, 0.9945)  4 Dy 3.22-3.60, 1 Er 3.34, 1 Sc 3.36, 1 Tb 3.52
Dy (0.6892, 0.0055, 0.5632)  4 Dy 3.22-3.60, 1 Er 3.34, 1 Sc 3.36, 1 Tb 3.52
Dy (0.8841, 0.2920, 0.5078)  3 Er 3.19-3.37, 4 Dy 3.22-3.45, 2 Sc 3.30-3.45
Dy (0.1159, 0.7080, 0.4922)  3 Er 3.19-3.37, 4 Dy 3.22-3.45, 2 Sc 3.30-3.45
Dy (0.3841, 0.5078, 0.2920)  3 Er 3.19-3.37, 4 Dy 3.22-3.45, 2 Sc 3.30-3.45
Dy (0.9451, 0.8746, 0.2449)  7 Dy 3.39-3.68, 1 Er 3.46, 1 Tb 3.60
Dy (0.5549, 0.7551, 0.1254)  7 Dy 3.39-3.68, 1 Er 3.46, 1 Tb 3.60
Dy (0.0549, 0.1254, 0.7551)  7 Dy 3.39-3.68, 1 Er 3.46, 1 Tb 3.60
Dy (0.1892, 0.5632, 0.0055)  4 Dy 3.22-3.60, 1 Er 3.34, 1 Sc 3.36, 1 Tb 3.52
Dy (0.6159, 0.4922, 0.7080)  3 Er 3.19-3.37, 4 Dy 3.22-3.45, 2 Sc 3.30-3.45
Dy (0.3108, 0.9945, 0.4368)  4 Dy 3.22-3.60, 1 Er 3.34, 1 Sc 3.36, 1 Tb 3.52
Er (0.0475, 0.3053, 0.2019)  5 Dy 3.19-3.46, 2 Tb 3.34-3.40, 1 Sc 3.41
Er (0.4525, 0.7981, 0.6947)  5 Dy 3.19-3.46, 2 Tb 3.34-3.40, 1 Sc 3.41
Er (0.5475, 0.2019, 0.3053)  5 Dy 3.19-3.46, 2 Tb 3.34-3.40, 1 Sc 3.41
Er (0.9525, 0.6947, 0.7981)  5 Dy 3.19-3.46, 2 Tb 3.34-3.40, 1 Sc 3.41
Tb (0.7500, 0.0236, 0.9764)  4 Er 3.34-3.40, 4 Dy 3.52-3.60
Tb (0.2500, 0.9764, 0.0236)  4 Er 3.34-3.40, 4 Dy 3.52-3.60
Sc (0.2500, 0.4141, 0.5859)  6 Dy 3.30-3.45, 2 Er 3.41
Sc (0.7500, 0.5859, 0.4141)  6 Dy 3.30-3.45, 2 Er 3.41



Entry 4:
## NaP2BrCl (PBE)

Data for crystalline NaP2BrCl at its relaxed geometry.

Values from the calculation:
The value obtained for the energy above the most stable polymorph in this dataset is 0.000 eV/atom. The space-group type is No. 123. The calculation puts the total magnetization at 0.3 μB/cell.

abc: 4.7366 4.7366 7.3430
angles: 90.00 90.00 90.00
With the nearest neighbours (Å) after each atom.
Fractional positions:
P (0.0000, 0.5000, 0.0000)  2 Br 2.37
P (0.5000, 0.0000, 0.0000)  2 Br 2.37
Na (0.5000, 0.5000, 0.5000)  4 Cl 3.35
Cl (0.0000, 0.0000, 0.5000)  4 Na 3.35, 2 Br 3.67
Br (0.0000, 0.0000, 0.0000)  4 P 2.37



Entry 5:
## Ac4Ga2Pb (PBE)

Data for crystalline Ac4Ga2Pb at its relaxed geometry.

Values from the calculation:
The value obtained for the calculated formation energy is -0.297 eV per atom. The space-group type is No. 70. The calculation puts the total magnetization at 0.0 μB/cell.

abc: 8.9318 8.9378 8.9263
angles: 109.40 109.37 109.72
With the nearest neighbours (Å) after each atom.
Fractional positions:
Ga (0.6250, 0.3750, 0.2500)  6 Ac 3.23-3.25
Ga (0.1250, 0.3750, 0.7500)  6 Ac 3.23-3.25
Ga (0.6250, 0.3750, 0.7500)  6 Ac 3.23-3.25
Ga (0.6250, 0.8750, 0.2500)  6 Ac 3.23-3.25
Pb (0.9998, 0.9999, 0.9999)  8 Ac 3.38-3.75
Pb (0.2502, 0.7501, 0.5001)  8 Ac 3.38-3.75
Ac (0.7455, 0.0669, 0.6793)  3 Ga 3.23-3.25, 1 Pb 3.38
Ac (0.9337, 0.6123, 0.6794)  3 Ga 3.23-3.25, 1 Pb 3.38
Ac (0.8623, 0.6835, 0.1794)  3 Ga 3.23-3.25, 1 Pb 3.38
Ac (0.3877, 0.0664, 0.3206)  3 Ga 3.23-3.25, 1 Pb 3.38
Ac (0.3163, 0.1377, 0.8206)  3 Ga 3.23-3.25, 1 Pb 3.38
Ac (0.9331, 0.2543, 0.3208)  3 Ga 3.23-3.25, 1 Pb 3.38
Ac (0.3169, 0.4957, 0.1793)  3 Ga 3.23-3.25, 1 Pb 3.38
Ac (0.5045, 0.6831, 0.8208)  3 Ga 3.23-3.25, 1 Pb 3.38



Entry 6:
## TeAs2PBr (PBE)

Data for crystalline TeAs2PBr at its relaxed geometry.

Values from the calculation:
The value obtained for the energy above the most stable polymorph in this dataset is 0.000 eV/atom. The space-group type is No. 123. The calculation puts the total magnetization at 0.0 μB/cell.

abc: 4.9986 4.9986 4.8152
angles: 90.00 90.00 90.00
With the nearest neighbours (Å) after each atom.
Fractional positions:
P (0.0000, 0.0000, 0.0000)  2 Br 2.41, 4 As 2.50
Br (0.0000, 0.0000, 0.5000)  2 P 2.41
As (0.0000, 0.5000, 0.0000)  2 P 2.50
As (0.5000, 0.0000, 0.0000)  2 P 2.50
Te (0.5000, 0.5000, 0.5000)  8 As 3.47, 4 Br 3.53



Entry 7:
## Re2TeAs (PBE)

Data for crystalline Re2TeAs at its relaxed geometry.

Values from the calculation:
The value obtained for the energy above the most stable polymorph in this dataset is 0.330 eV/atom. The space-group type is No. 12. The calculation puts the total magnetization at 0.0 μB/cell.

abc: 4.3792 4.3792 5.5710
angles: 77.56 77.56 41.83
With the nearest neighbours (Å) after each atom.
Fractional positions:
Re (0.0053, 0.0053, 0.9554)  3 As 2.59-2.60, 2 Re 2.79, 3 Te 2.81-2.87
Re (0.4947, 0.4947, 0.5446)  3 As 2.59-2.60, 2 Re 2.79, 3 Te 2.81-2.87
As (0.7500, 0.7500, 0.7500)  6 Re 2.59-2.60
Te (0.2500, 0.2500, 0.2500)  6 Re 2.81-2.87, 2 Te 3.13



Entry 8:
## SrFeSe (PBE)

Data for crystalline SrFeSe at its relaxed geometry.

Values from the calculation:
The value obtained for the energy above the most stable polymorph in this dataset is 0.000 eV/atom. The space-group type is No. 187. The calculation puts the total magnetization at 2.0 μB/cell.

abc: 4.1971 4.1971 4.4392
angles: 90.00 90.00 120.00
With the nearest neighbours (Å) after each atom.
Fractional positions:
Se (0.6667, 0.3333, 0.1668)  3 Fe 2.42
Sr (0.3333, 0.6667, 0.6665)  6 Se 3.29, 6 Fe 3.29
Fe (0.0000, 0.0000, 0.1666)  3 Se 2.42



Entry 9:
## ScPdSe3 (PBE)

Data for crystalline ScPdSe3 at its relaxed geometry.

Values from the calculation:
The value obtained for the energy above the most stable polymorph in this dataset is 0.000 eV/atom. The space-group type is No. 221. The calculation puts the total magnetization at 0.0 μB/cell.

abc: 4.9065 4.9065 4.9065
angles: 90.00 90.00 90.00
With the nearest neighbours (Å) after each atom.
Fractional positions:
Se (0.5000, 0.0000, 0.0000)  2 Pd 2.45
Se (0.0000, 0.0000, 0.5000)  2 Pd 2.45
Se (0.0000, 0.5000, 0.0000)  2 Pd 2.45
Sc (0.5000, 0.5000, 0.5000)  12 Se 3.47
Pd (0.0000, 0.0000, 0.0000)  6 Se 2.45



Entry 10:
## DyZn2Fe9 (PBE)

Data for crystalline DyZn2Fe9 at its relaxed geometry.

Values from the calculation:
The value obtained for the calculated formation energy is 0.027 eV per atom. The space-group type is No. 127. The calculation puts the total magnetization at 38.5 μB/cell.

abc: 4.8337 8.1873 8.1873
angles: 90.00 90.00 90.00
With the nearest neighbours (Å) after each atom.
Fractional positions:
Fe (0.2432, 0.3218, 0.1782)  7 Fe 2.35-2.52, 1 Zn 2.63
Fe (0.5000, 0.5000, 0.0000)  8 Fe 2.41-2.42
Fe (0.2432, 0.1782, 0.6782)  7 Fe 2.35-2.52, 1 Zn 2.63
Fe (0.5000, 0.7880, 0.0657)  8 Fe 2.42-2.57
Fe (0.5000, 0.2880, 0.4343)  8 Fe 2.42-2.57
Fe (0.5000, 0.7120, 0.5657)  8 Fe 2.42-2.57
Fe (0.2432, 0.8218, 0.3218)  7 Fe 2.35-2.52, 1 Zn 2.63
Fe (0.2432, 0.6782, 0.8218)  7 Fe 2.35-2.52, 1 Zn 2.63
Fe (0.7568, 0.8218, 0.3218)  7 Fe 2.35-2.52, 1 Zn 2.63
Fe (0.7568, 0.6782, 0.8218)  7 Fe 2.35-2.52, 1 Zn 2.63
Fe (0.5000, 0.0000, 0.5000)  8 Fe 2.41-2.42
Fe (0.7568, 0.1782, 0.6782)  7 Fe 2.35-2.52, 1 Zn 2.63
Fe (0.5000, 0.2120, 0.9343)  8 Fe 2.42-2.57
Fe (0.5000, 0.4343, 0.7120)  8 Fe 2.42-2.57
Fe (0.5000, 0.0657, 0.2120)  8 Fe 2.42-2.57
Fe (0.7568, 0.3218, 0.1782)  7 Fe 2.35-2.52, 1 Zn 2.63
Fe (0.5000, 0.5657, 0.2880)  8 Fe 2.42-2.57
Fe (0.5000, 0.9343, 0.7880)  8 Fe 2.42-2.57
Zn (0.0000, 0.6185, 0.1185)  12 Fe 2.63-2.82, 1 Zn 2.74
Zn (0.0000, 0.1185, 0.3815)  12 Fe 2.63-2.82, 1 Zn 2.74
Zn (0.0000, 0.3815, 0.8815)  12 Fe 2.63-2.82, 1 Zn 2.74
Zn (0.0000, 0.8815, 0.6185)  12 Fe 2.63-2.82, 1 Zn 2.74
Dy (0.0000, 0.0000, 0.0000)  16 Fe 3.02-3.23, 4 Zn 3.27
Dy (0.0000, 0.5000, 0.5000)  16 Fe 3.02-3.23, 4 Zn 3.27



Entry 11:
## Zn2TcF (PBE)

Data for crystalline Zn2TcF at its relaxed geometry.

Values from the calculation:
The value obtained for the energy above the most stable polymorph in this dataset is 0.000 eV/atom. The space-group type is No. 122. The calculation puts the total magnetization at 3.1 μB/cell.

abc: 6.7229 6.7229 5.3690
angles: 51.24 51.24 90.00
With the nearest neighbours (Å) after each atom.
Fractional positions:
Tc (0.0000, 0.0000, 0.0000)  2 F 2.50, 4 Zn 2.66
Tc (0.7500, 0.2500, 0.5000)  2 F 2.50, 4 Zn 2.66
Zn (0.3750, 0.4174, 0.7500)  2 F 2.27
Zn (0.8750, 0.8326, 0.7500)  2 F 2.27
Zn (0.1674, 0.6250, 0.2500)  2 F 2.27
Zn (0.5826, 0.1250, 0.2500)  2 F 2.27
F (0.5000, 0.5000, 0.0000)  4 Zn 2.27, 2 Tc 2.50
F (0.2500, 0.7500, 0.5000)  4 Zn 2.27, 2 Tc 2.50



Entry 12:
## LaZr2Mo (PBE)

Data for crystalline LaZr2Mo at its relaxed geometry.

Values from the calculation:
The value obtained for the calculated formation energy is 0.085 eV per atom. The value obtained for the energy above the most stable polymorph in this dataset is 0.000 eV/atom. The space-group type is No. 123. The calculation puts the total magnetization at 0.0 μB/cell.

abc: 3.4216 3.4216 8.1474
angles: 90.00 90.00 90.00
With the nearest neighbours (Å) after each atom.
Fractional positions:
La (0.5000, 0.5000, 0.2500)  4 La 3.42, 8 Zr 3.49
Zr (0.0000, 0.0000, 0.5588)  4 Mo 2.88, 1 Zr 3.12
Zr (0.0000, 0.0000, 0.9412)  4 Mo 2.88, 1 Zr 3.12
Mo (0.5000, 0.5000, 0.7500)  8 Zr 2.88



| no. | density (g/cm3) |
| --- | --- |
| 1 | 6.3 |
| 2 | 10.4 |
| 3 | 8.1 |
| 4 | 2.0 |
| 5 | 7.6 |
| 6 | 5.4 |
| 7 | 13.8 |
| 8 | 5.5 |
| 9 | 5.5 |
| 10 | 8.2 |
| 11 | 7.3 |
| 12 | 7.3 |